1.
Compound: Cs3AgH
Source: the Alexandria database
Functional: meta-GGA SCAN
Structure: PBEsol geometry

Unit cell a=5.8650 b=5.8650 c=5.8650 alpha=90.00 beta=90.00 gamma=90.00
With the nearest neighbours (Å) after each atom.
Fractional coordinates of all 5 atoms:
Cs 0.0000 0.0000 0.5000  2 H 2.93
Cs 0.0000 0.5000 0.0000  2 H 2.93
Cs 0.5000 0.0000 0.0000  2 H 2.93
Ag 0.5000 0.5000 0.5000  12 Cs 4.15
H 0.0000 0.0000 0.0000  6 Cs 2.93

Summary:
**SG**: Pm-3m (221)
**Total DFT energy (no corrections)**: -2.18121 Ry per atom
**Size of the total moment**: 0.00 μB/f.u.



2.
Compound: ZrTlP2
Source: the Alexandria database
Functional: meta-GGA SCAN
Structure: PBEsol geometry

Unit cell a=3.7633 b=3.7633 c=5.7161 alpha=90.00 beta=90.00 gamma=90.00
With the nearest neighbours (Å) after each atom.
Fractional coordinates of all 4 atoms:
Zr 0.0000 0.0000 0.0000  6 P 2.66-2.86
Tl 0.5000 0.5000 0.4965  6 P 2.66-2.87
P 0.0000 0.0000 0.5011  4 Tl 2.66, 2 Zr 2.85-2.86
P 0.5000 0.5000 0.9983  4 Zr 2.66, 2 Tl 2.85-2.87

Summary:
**SG**: P4mm (99)
**Formation energy from the elements**: -0.423 eV per atom
**Total DFT energy (no corrections)**: -2.30689 Ry per atom
**Energy above the most stable polymorph in this dataset**: 0.0 meV/atom
**Size of the total moment**: 0.00 μB/f.u.



3.
Compound: PmCdAg2
Source: the Alexandria database
Functional: meta-GGA SCAN
Structure: PBEsol geometry

Unit cell a=4.9159 b=4.9159 c=4.9159 alpha=60.00 beta=60.00 gamma=60.00
With the nearest neighbours (Å) after each atom.
Fractional coordinates of all 4 atoms:
Pm 0.0000 0.0000 0.0000  8 Ag 3.01
Cd 0.5000 0.5000 0.5000  8 Ag 3.01
Ag 0.2500 0.2500 0.2500  4 Cd 3.01, 4 Pm 3.01
Ag 0.7500 0.7500 0.7500  4 Cd 3.01, 4 Pm 3.01

Summary:
**SG**: Fm-3m (225)
**Formation energy from the elements**: -0.306 eV per atom
**Total DFT energy (no corrections)**: -2.54226 Ry per atom
**Size of the total moment**: 0.01 μB/f.u.



4.
Compound: Cu2As
Source: the Alexandria database
Functional: meta-GGA SCAN
Structure: PBEsol geometry

Unit cell a=3.7459 b=3.7459 c=5.8422 alpha=90.00 beta=90.00 gamma=90.00
With the nearest neighbours (Å) after each atom.
Fractional coordinates of all 6 atoms:
Cu 0.2500 0.2500 0.2027  5 As 2.40-2.65, 4 Cu 2.55
Cu 0.2500 0.7500 0.5000  4 As 2.53, 8 Cu 2.55-2.65
Cu 0.7500 0.2500 0.5000  4 As 2.53, 8 Cu 2.55-2.65
Cu 0.7500 0.7500 0.7973  5 As 2.40-2.65, 4 Cu 2.55
As 0.2500 0.2500 0.7913  9 Cu 2.40-2.65
As 0.7500 0.7500 0.2087  9 Cu 2.40-2.65

Summary:
**SG**: P4/nmm (129)
**Formation energy from the elements**: -0.014 eV per atom
**Total DFT energy (no corrections)**: -1.24043 Ry per atom
**Size of the total moment**: 0.00 μB/f.u.



5.
Compound: CaLa2Cd
Source: the Alexandria database
Functional: meta-GGA SCAN
Structure: PBEsol geometry

Unit cell a=3.6953 b=3.6953 c=9.2837 alpha=90.00 beta=90.00 gamma=90.00
With the nearest neighbours (Å) after each atom.
Fractional coordinates of all 4 atoms:
Ca 0.0000 0.0000 0.0000  4 Cd 3.24
La 0.0000 0.0000 0.4305  4 Cd 3.34, 8 La 3.57-3.70
La 0.5000 0.5000 0.6922  8 La 3.57-3.70, 4 Ca 3.87
Cd 0.5000 0.5000 0.2067  4 Ca 3.24, 4 La 3.34

Summary:
**SG**: P4mm (99)
**Formation energy from the elements**: -0.190 eV per atom
**Total DFT energy (no corrections)**: -2.33443 Ry per atom
**Size of the total moment**: 0.15 μB/f.u.



6.
Compound: LiZnRu2
Source: the Alexandria database
Functional: meta-GGA SCAN
Structure: PBEsol geometry

Unit cell a=4.1664 b=4.1664 c=4.1664 alpha=60.00 beta=60.00 gamma=60.00
With the nearest neighbours (Å) after each atom.
Fractional coordinates of all 4 atoms:
Li 0.0000 0.0000 0.0000  4 Ru 2.55, 4 Zn 2.55
Zn 0.7500 0.7500 0.7500  4 Li 2.55, 4 Ru 2.55
Ru 0.2500 0.2500 0.2500  4 Ru 2.55, 4 Li 2.55
Ru 0.5000 0.5000 0.5000  4 Ru 2.55, 4 Zn 2.55

Summary:
**SG**: F-43m (216)
**Formation energy from the elements**: -0.024 eV per atom
**Total DFT energy (no corrections)**: -1.57382 Ry per atom
**Size of the total moment**: 0.00 μB/f.u.